[1]
A plane-wave DFT calculation with PBE was carried out for a relaxed Ta3In crystal.

Calculated values
Space group ... P2/m (10)
Total energy ... -9.446 eV per atom

abc: 4.800 2.890 5.556
angles: 81.20 90.00 90.00
Positions (direct):
Ta1 0.500 0.252 0.266
Ta2 0.500 0.748 0.734
Ta3 0.000 0.500 0.500
In1 0.000 0.000 0.000



[2]
A plane-wave DFT calculation with PBE was carried out for a relaxed TaIn3 crystal.

Calculated values
Space group ... P-6m2 (187)
Total energy ... -4.757 eV per atom

abc: 3.128 3.128 10.988
angles: 90.00 90.00 120.00
Positions (direct):
Ta1 0.667 0.333 0.750
In1 0.000 0.000 0.527
In2 0.000 0.000 0.973
In3 0.667 0.333 0.250



[3]
A plane-wave DFT calculation with PBE was carried out for a relaxed TaIn3 crystal.

Calculated values
Space group ... Pm-3m (221)
Total energy ... -4.144 eV per atom

abc: 5.497 5.497 5.497
angles: 90.00 90.00 90.00
Positions (direct):
Ta1 0.000 0.000 0.000
In1 0.000 0.000 0.500
In2 0.000 0.500 0.000
In3 0.500 0.000 0.000